{"formula": "LiVF4", "functional": "GGA+U", "state": "optimized geometry", "dos_ef_per_ev_atom": 0.000, "spacegroup": "P2_1/c", "final_energy_ev_per_atom": -5.72, "lattice_angstrom": [[-2.2976, -3.0085, -3.3331], [-3.5103, -3.4522, 5.5358], [-6.3843, 4.1163, 0.6854]], "species": ["Li", "Li", "Li", "Li", "V", "V", "V", "V", "F", "F", "F", "F", "F", "F", "F", "F", "F", "F", "F", "F", "F", "F", "F", "F"], "frac_coords": [[0.2584, 0.6578, 0.6403], [0.2416, 0.1578, 0.6403], [0.7584, 0.8422, 0.3597], [0.7416, 0.3422, 0.3597], [0.7447, 0.8160, 0.8158], [0.7553, 0.3160, 0.8158], [0.2447, 0.6840, 0.1842], [0.2553, 0.1840, 0.1842], [0.0665, 0.6959, 0.9480], [0.4335, 0.1959, 0.9480], [0.5867, 0.5658, 0.8084], [0.4298, 0.9152, 0.6934], [0.9133, 0.0658, 0.8084], [0.0702, 0.4152, 0.6934], [0.9260, 0.8043, 0.5957], [0.5740, 0.3043, 0.5957], [0.4260, 0.6957, 0.4043], [0.0740, 0.1957, 0.4043], [0.9298, 0.5848, 0.3066], [0.0867, 0.9342, 0.1916], [0.5702, 0.0848, 0.3066], [0.4133, 0.4342, 0.1916], [0.5665, 0.8041, 0.0520], [0.9335, 0.3041, 0.0520]]}